Crystalline La3SnMo at its relaxed geometry, computed with PBE.

Geometry as extended XYZ:
```
5
Lattice="-2.071 2.541 -4.345 -2.731 -4.515 -1.339 -4.229 1.670 2.992" Properties=species:S:1:pos:R:3 pbc="T T T"
Sn -4.515 -0.151 -1.346
Mo 0.000 0.000 0.000
La -1.365 -2.257 -0.670
La -2.115 0.835 1.496
La -1.035 1.271 -2.173
```

Properties
Its space group is Pm-3m, No. 221. For the magnetization, the calculation gives 0.0 μB per formula unit. For the total energy, the calculation gives -29.92 eV for the cell shown. Its energy above the most stable polymorph in this dataset is 0.000 eV/atom. The energy of formation is -5.8 kJ/mol of atoms.